[1]
Entry from Alexandria: a relaxed structure of Cr2Co2Hg (GGA-PBE).

Structure (POSCAR):
```
Cr2Co2Hg
1.0
-2.094 6.715 0.014
-6.443 -2.005 -1.987
-0.702 -0.224 2.504
Cr Co Hg
4 4 2
Direct
0.165 0.665 0.500
0.665 0.835 0.500
0.835 0.335 0.500
0.335 0.165 0.500
0.376 0.876 0.000
0.876 0.624 0.000
0.624 0.124 0.000
0.124 0.376 0.000
0.000 0.000 0.000
0.500 0.500 0.000
```

Output
N(E_F) in states/eV per atom: 0.9729
ΔH_f (0 K) in meV per atom: 354
Offset from the most stable computed form in eV per atom: 0.000

***

[2]
Entry from Alexandria: a relaxed structure of CrCo2Hg (GGA-PBE).

Structure (POSCAR):
```
CrCo2Hg
1.0
6.575 0.000 0.000
0.000 6.575 0.000
3.287 3.287 2.678
Cr Co Hg
2 4 2
Direct
0.500 0.500 0.000
0.250 0.750 0.500
0.564 0.125 0.250
0.186 0.625 0.250
0.375 0.436 0.750
0.875 0.814 0.750
0.000 0.000 0.000
0.750 0.250 0.500
```

Output
N(E_F) in states/eV per atom: 0.2776
ΔH_f (0 K) in meV per atom: 701

***

[3]
Entry from Alexandria: a relaxed structure of CrCo2Hg (GGA-PBE).

Structure (POSCAR):
```
CrCo2Hg
1.0
4.966 -0.008 -0.006
2.128 4.487 0.006
-3.136 -2.890 2.545
Co Cr Hg
2 1 1
Direct
0.980 0.980 0.000
0.765 0.265 0.500
0.514 0.514 0.000
0.241 0.741 0.500
```

Output
N(E_F) in states/eV per atom: 1.0874
ΔH_f (0 K) in meV per atom: 487

***

[4]
Entry from Alexandria: a relaxed structure of La2CrCoHg (GGA-PBE).

Structure (POSCAR):
```
La2CrCoHg
1.0
5.418 0.000 0.000
0.000 5.418 0.000
0.000 0.000 4.237
Cr Co Hg La
1 1 1 2
Direct
0.000 0.000 0.000
0.000 0.000 0.500
0.500 0.500 0.500
0.000 0.500 0.000
0.500 0.000 0.000
```

Output
N(E_F) in states/eV per atom: 1.3270
ΔH_f (0 K) in meV per atom: 266

***

[5]
Entry from Alexandria: a relaxed structure of CrCo2HgN (GGA-PBE).

Structure (POSCAR):
```
CrCo2HgN
1.0
-3.133 -0.815 -2.222
1.048 -3.783 -0.091
-2.094 -0.657 3.194
Cr Co Hg N
1 2 1 1
Direct
0.000 0.000 0.500
0.000 0.500 0.000
0.500 0.000 0.000
0.500 0.500 0.500
0.000 0.000 0.000
```

Output
ΔE_f (raw) in meV/atom: 49
N(E_F) in states/eV per atom: 0.7832